Entry from Alexandria: a PBEsol-optimized structure of Tl2ClF (meta-GGA SCAN).

Geometry as extended XYZ:
```
8
Lattice="6.584 0.000 0.000 0.000 6.584 0.000 -3.292 -3.292 6.197" Properties=species:S:1:pos:R:3 pbc="T T T"
Tl 2.012 4.938 1.549
Tl 4.572 1.646 1.549
Tl -1.646 -1.280 4.647
Tl 1.646 1.280 4.647
F 3.292 0.000 3.098
F 3.292 3.292 0.000
Cl 0.000 3.292 3.098
Cl 0.000 0.000 0.000
```

Values from the calculation:
The calculation puts the uncorrected formation energy at -1.31 eV per atom. The value obtained for the energy is -40.3691 eV/atom. Its total moment is 0.0 μB/f.u.

=====

Entry from Alexandria: a PBEsol-optimized structure of AlTlIn2 (meta-GGA SCAN).

Geometry as extended XYZ:
```
4
Lattice="-1.082 -2.763 -1.352 0.671 -2.870 1.395 -8.911 -1.195 5.641" Properties=species:S:1:pos:R:3 pbc="T T T"
Tl -4.661 -3.414 2.842
Al 0.000 0.000 0.000
In -2.132 -1.723 1.293
In -7.190 -5.106 4.390
```

Values from the calculation:
The calculation puts the formation enthalpy at 0 K at 126.4 meV per atom. The value obtained for the energy is -36.5944 eV/atom. Its total moment is 0.0 μB/f.u.

=====

Entry from Alexandria: a PBEsol-optimized structure of LiBe3Pt (meta-GGA SCAN).

Geometry as extended XYZ:
```
5
Lattice="3.711 0.000 0.000 0.000 3.711 0.000 0.000 0.000 3.711" Properties=species:S:1:pos:R:3 pbc="T T T"
Be 0.000 1.856 0.000
Be 0.000 0.000 1.856
Be 1.856 0.000 0.000
Pt 1.856 1.856 1.856
Li 0.000 0.000 0.000
```

Values from the calculation:
The calculation puts the formation enthalpy at 0 K at 667.0 meV per atom. The value obtained for the energy is -16.4617 eV/atom. Its total moment is 0.0 μB/f.u.

=====

Entry from Alexandria: a PBEsol-optimized structure of InRuAu2 (meta-GGA SCAN).

Geometry as extended XYZ:
```
4
Lattice="4.084 0.000 0.000 0.000 4.084 0.000 -2.042 -2.042 4.006" Properties=species:S:1:pos:R:3 pbc="T T T"
Au 2.042 0.000 2.003
Au 0.000 2.042 2.003
In 2.042 2.042 0.000
Ru 0.000 0.000 0.000
```

Values from the calculation:
The calculation puts the formation enthalpy at 0 K at 172.2 meV per atom. The value obtained for the energy is -51.4594 eV/atom. Its total moment is 1.2 μB/f.u.

=====

Entry from Alexandria: a PBEsol-optimized structure of TlSb5S8 (meta-GGA SCAN).

Geometry as extended XYZ:
```
56
Lattice="8.078 0.128 0.000 0.175 8.855 0.000 0.000 0.000 19.153" Properties=species:S:1:pos:R:3 pbc="T T T"
Tl 0.219 8.808 10.611
Tl 4.170 4.444 8.541
Tl 6.617 2.453 18.165
Tl 2.665 6.817 0.987
Sb 6.113 4.191 13.701
Sb 2.161 8.555 5.451
Sb 0.302 4.845 10.409
Sb 4.254 0.481 8.744
Sb 1.168 2.401 15.115
Sb 5.294 6.893 4.038
Sb 6.552 0.264 14.036
Sb 2.600 4.627 5.117
Sb 3.392 1.942 12.145
Sb 7.518 6.434 7.008
Sb 4.033 4.769 16.569
Sb 7.984 0.405 2.583
Sb 6.490 7.181 18.240
Sb 2.364 2.689 0.912
Sb 3.611 8.721 16.250
Sb 7.563 4.358 2.903
Sb 0.835 6.372 14.816
Sb 4.787 2.008 4.337
Sb 3.668 6.561 12.405
Sb 7.620 2.198 6.748
S 2.459 4.755 13.862
S 6.411 0.391 5.290
S 4.821 1.813 14.806
S 0.870 6.176 4.346
S 5.391 7.165 15.429
S 1.264 2.674 3.723
S 4.876 0.086 11.488
S 0.924 4.450 7.665
S 2.504 1.936 9.741
S 6.631 6.428 9.412
S 5.099 5.200 18.824
S 0.973 0.708 0.328
S 2.767 2.770 17.507
S 6.893 7.262 1.646
S 4.768 8.895 18.511
S 0.642 4.403 0.641
S 2.213 8.229 13.562
S 6.165 3.866 5.591
S 2.308 6.492 17.045
S 6.260 2.129 2.108
S 7.772 4.290 15.988
S 3.820 8.653 3.165
S 7.383 6.088 12.562
S 3.257 1.596 6.591
S 2.297 6.380 10.290
S 6.248 2.017 8.863
S 7.784 2.466 12.950
S 3.832 6.829 6.203
S 4.912 3.790 11.459
S 0.960 8.154 7.694
S 8.001 0.561 16.127
S 4.049 4.924 3.026
```

Values from the calculation:
The calculation puts the uncorrected formation energy at -0.28 eV per atom. The value obtained for the energy is -24.2581 eV/atom. Its total moment is 0.0 μB/f.u.

=====

Entry from Alexandria: a PBEsol-optimized structure of RhSe2Br (meta-GGA SCAN).

Geometry as extended XYZ:
```
4
Lattice="2.979 0.000 0.000 0.000 2.979 0.000 0.000 0.000 9.233" Properties=species:S:1:pos:R:3 pbc="T T T"
Br 1.490 1.490 0.000
Rh 1.490 1.490 4.616
Se 0.000 0.000 6.185
Se 0.000 0.000 3.048
```

Values from the calculation:
The calculation puts the uncorrected formation energy at 0.06 eV per atom. The value obtained for the energy is -23.2877 eV/atom. Its total moment is 0.0 μB/f.u.

=====

Entry from Alexandria: a PBEsol-optimized structure of LiTl2C (meta-GGA SCAN).

Geometry as extended XYZ:
```
4
Lattice="-3.145 -2.873 -1.897 0.776 -1.855 -4.208 0.943 -4.549 -0.405" Properties=species:S:1:pos:R:3 pbc="T T T"
Tl -0.357 -2.319 -1.627
Tl -1.070 -6.958 -4.882
C -0.713 -4.639 -3.255
Li 0.000 0.000 0.000
```

Values from the calculation:
The calculation puts the formation enthalpy at 0 K at 1103.6 meV per atom. The value obtained for the energy is -38.1979 eV/atom. Its total moment is 0.0 μB/f.u.

=====

Entry from Alexandria: a PBEsol-optimized structure of Cs3TiO (meta-GGA SCAN).

Geometry as extended XYZ:
```
5
Lattice="6.176 0.000 0.000 0.000 6.176 0.000 0.000 0.000 6.176" Properties=species:S:1:pos:R:3 pbc="T T T"
Cs 0.000 3.088 0.000
Cs 0.000 0.000 3.088
Cs 3.088 0.000 0.000
O 3.088 3.088 3.088
Ti 0.000 0.000 0.000
```

Values from the calculation:
The calculation puts the uncorrected formation energy at 0.92 eV per atom. The value obtained for the energy is -26.2165 eV/atom. Its total moment is 5.5 μB/f.u.

=====

Entry from Alexandria: a PBEsol-optimized structure of Co2SiTc (meta-GGA SCAN).

Geometry as extended XYZ:
```
8
Lattice="3.507 0.000 0.000 0.000 3.507 0.000 -1.753 -1.753 8.066" Properties=species:S:1:pos:R:3 pbc="T T T"
Si 1.753 0.000 4.033
Si 1.753 1.753 0.000
Co 0.941 2.630 2.017
Co 2.566 0.877 2.017
Co -0.877 -0.813 6.050
Co 0.877 0.813 6.050
Tc 0.000 1.753 4.033
Tc 0.000 0.000 0.000
```

Values from the calculation:
The calculation puts the uncorrected formation energy at 0.37 eV per atom. The value obtained for the energy is -19.5511 eV/atom. Its total moment is 2.6 μB/f.u.

=====

Entry from Alexandria: a PBEsol-optimized structure of BeTlSe (meta-GGA SCAN).

Geometry as extended XYZ:
```
3
Lattice="4.697 0.000 0.000 2.348 4.068 0.000 2.348 1.356 3.835" Properties=species:S:1:pos:R:3 pbc="T T T"
Be 0.000 0.000 0.000
Tl 7.045 4.068 2.876
Se 4.697 2.712 1.917
```

Values from the calculation:
The calculation puts the uncorrected formation energy at 0.82 eV per atom. The value obtained for the energy is -31.4478 eV/atom. Its total moment is 0.4 μB/f.u.

=====

Entry from Alexandria: a PBEsol-optimized structure of NbCoB3 (meta-GGA SCAN).

Geometry as extended XYZ:
```
5
Lattice="3.679 0.000 0.000 0.000 3.679 0.000 0.000 0.000 3.679" Properties=species:S:1:pos:R:3 pbc="T T T"
Nb 1.840 1.840 1.840
B 0.000 1.840 0.000
B 0.000 0.000 1.840
B 1.840 0.000 0.000
Co 0.000 0.000 0.000
```

Values from the calculation:
The calculation puts the formation enthalpy at 0 K at 601.3 meV per atom. The value obtained for the energy is -13.9432 eV/atom. Its total moment is 0.0 μB/f.u.

=====

Entry from Alexandria: a PBEsol-optimized structure of ZrFeNi2 (meta-GGA SCAN).

Geometry as extended XYZ:
```
4
Lattice="3.701 0.000 0.000 0.000 3.701 0.000 -1.850 -1.850 3.755" Properties=species:S:1:pos:R:3 pbc="T T T"
Fe 0.000 0.000 0.000
Ni 1.850 0.000 1.878
Ni 0.000 1.850 1.878
Zr 1.850 1.850 0.000
```

Values from the calculation:
The calculation puts the formation enthalpy at 0 K at -246.2 meV per atom. The value obtained for the energy is -20.5399 eV/atom. Its total moment is 2.6 μB/f.u.